No. 1
Nb2TlMoAu | PBEsol | relaxed

Properties
E_form = 1.97 eV/atom

Lattice parameters (Å, degrees): 4.9425 4.9425 4.9063 90.00 90.00 90.00
Space group P4/mmm (No. 123)
Asymmetric unit:
Nb1 0.0000 0.5000 0.0000 x2
Tl1 0.0000 0.0000 0.5000 x1
Mo1 0.5000 0.5000 0.5000 x1
Au1 0.0000 0.0000 0.0000 x1

No. 2
BaZr2TaF | PBEsol | relaxed

Properties
E_form (uncorrected) = 1.236 eV/atom

Lattice parameters (Å, degrees): 5.4321 5.4321 4.3723 90.00 90.00 90.00
Space group P4/mmm (No. 123)
Asymmetric unit:
Ba1 0.0000 0.0000 0.0000 x1
Zr1 0.0000 0.5000 0.0000 x2
Ta1 0.5000 0.5000 0.5000 x1
F1 0.0000 0.0000 0.5000 x1

No. 3
Cs3HgBr5 | PBEsol | relaxed

Properties
E_form (uncorrected) = -1.361 eV/atom

Lattice parameters (Å, degrees): 9.2299 11.1203 13.8954 90.00 90.00 90.00
Space group Pnma (No. 62)
Asymmetric unit:
Cs1 0.0749 0.2500 0.0514 x4
Cs2 0.0820 0.0194 0.3316 x8
Hg1 0.1937 0.2500 0.6126 x4
Br1 0.0464 0.7500 0.4942 x4
Br2 0.1208 0.2500 0.7938 x4
Br3 0.1743 0.7500 0.7588 x4
Br4 0.1871 0.5470 0.0632 x8

No. 4
CaP2Os | PBEsol | relaxed

Properties
energy above the lowest structure with this stoichiometry = 0.0 kJ/mol of atoms
E_form = -0.27 eV/atom

Lattice parameters (Å, degrees): 3.0042 3.0042 6.8875 90.00 90.00 90.00
Space group P4/mmm (No. 123)
Asymmetric unit:
Ca1 0.0000 0.0000 0.0000 x1
P1 0.5000 0.5000 0.2950 x2
Os1 0.0000 0.0000 0.5000 x1

No. 5
Ti2Bi2O7 | PBEsol | relaxed

Properties
energy above the lowest structure with this stoichiometry = 2.5 kJ/mol of atoms
E_form (uncorrected) = -2.231 eV/atom

Lattice parameters (Å, degrees): 10.2948 10.2948 10.2948 90.00 90.00 90.00
Space group Fd-3m (No. 227, origin choice 2)
Asymmetric unit:
Ti1 0.0000 0.0000 0.0000 x16
Bi1 0.0000 0.0000 0.5000 x16
O1 0.0744 0.3750 0.3750 x48
O2 0.1250 0.1250 0.6250 x8

No. 6
Ba2ScPd | PBEsol | relaxed

Properties
E_form = 0.28 eV/atom

Lattice parameters (Å, degrees): 7.9331 7.9331 7.9331 90.00 90.00 90.00
Space group Fm-3m (No. 225)
Asymmetric unit:
Ba1 0.2500 0.2500 0.2500 x8
Sc1 0.0000 0.0000 0.0000 x4
Pd1 0.0000 0.0000 0.5000 x4

What did the fourth record say?
CaP2Os | PBEsol | relaxed

Properties
energy above the lowest structure with this stoichiometry = 0.0 kJ/mol of atoms
E_form = -0.27 eV/atom

Lattice parameters (Å, degrees): 3.0042 3.0042 6.8875 90.00 90.00 90.00
Space group P4/mmm (No. 123)
Asymmetric unit:
Ca1 0.0000 0.0000 0.0000 x1
P1 0.5000 0.5000 0.2950 x2
Os1 0.0000 0.0000 0.5000 x1

Please write out number 3 again, unchanged.
Cs3HgBr5 | PBEsol | relaxed

Properties
E_form (uncorrected) = -1.361 eV/atom

Lattice parameters (Å, degrees): 9.2299 11.1203 13.8954 90.00 90.00 90.00
Space group Pnma (No. 62)
Asymmetric unit:
Cs1 0.0749 0.2500 0.0514 x4
Cs2 0.0820 0.0194 0.3316 x8
Hg1 0.1937 0.2500 0.6126 x4
Br1 0.0464 0.7500 0.4942 x4
Br2 0.1208 0.2500 0.7938 x4
Br3 0.1743 0.7500 0.7588 x4
Br4 0.1871 0.5470 0.0632 x8